Compound: PdSe4Br
Source: Alexandria via LeMat-Bulk
Functional: PBE
Structure: relaxed

formation energy without anion corrections: -53.6 meV/atom
magnetization: 0.000 μB per atom

Unit cell a=4.4438 b=10.8556 c=6.9052 alpha=90.00 beta=90.15 gamma=90.00
Fractional positions:
Pd 0.0000 0.0943 0.2500
Pd 0.0000 0.9057 0.7500
Se 0.3019 0.2938 0.3587
Se 0.3019 0.7062 0.8587
Se 0.3067 0.0679 0.9422
Se 0.3067 0.9321 0.4422
Se 0.6933 0.0679 0.5578
Se 0.6933 0.9321 0.0578
Se 0.6981 0.2938 0.1413
Se 0.6981 0.7062 0.6413
Br 0.5000 0.3526 0.7500
Br 0.5000 0.6474 0.2500